a:
Compound: LiCaCu2
Source: Alexandria
Functional: PBEsol
Structure: relaxed

Calculated values
crystal system	trigonal
DOS(E_F)	0.3522	states/eV per atom
space-group type	R-3m, No. 166

Geometry as POSCAR:
```
LiCaCu2
1.0
-3.479 -1.054 2.072
0.006 -3.321 2.545
0.193 1.393 5.256
Cu Li Ca
2 1 1
Direct
0.696 0.696 0.912
0.304 0.304 0.088
0.000 0.000 0.000
0.500 0.500 0.500
```


b:
Compound: LiCaCu2
Source: Alexandria
Functional: PBEsol
Structure: relaxed

Calculated values
crystal system	tetragonal
DOS(E_F)	0.2619	states/eV per atom
space-group type	P4/mmm, No. 123

Geometry as POSCAR:
```
LiCaCu2
1.0
-2.338 1.578 -1.733
0.030 -2.427 -2.251
-4.369 -2.994 3.171
Li Cu Ca
1 2 1
Direct
0.500 0.500 0.500
0.000 0.000 0.695
0.000 0.000 0.305
0.500 0.500 0.000
```


Least stable of them? b.